[1]
This record from Alexandria describes a relaxed Cs4BrF3 crystal. The functional is GGA-PBE.

POSCAR file:
```
Cs4BrF3
1.0
4.3818 0.0000 0.0000
-2.1909 3.7947 0.0000
0.0000 0.0000 15.6012
Cs Br F
4 1 3
Cartesian
0.0000 2.5298 13.1267
0.0000 2.5298 6.0133
2.1909 1.2649 2.4745
2.1909 1.2649 9.5880
0.0000 0.0000 0.0000
0.0000 0.0000 7.8006
0.0000 0.0000 4.2241
0.0000 0.0000 11.3772
```

Calculated values
As for the space group: No. 164. The uncorrected energy is -29.794 eV/cell.


[2]
This record from Alexandria describes a relaxed HfBeCu crystal. The functional is GGA-PBE.

POSCAR file:
```
HfBeCu
1.0
-1.2261 1.2764 -2.3217
1.6790 -1.6047 -1.7689
-3.6775 -3.3353 1.9440
Be Hf Cu
1 1 1
Cartesian
-1.7753 -1.8001 -0.0521
-2.8551 -3.2888 -2.1358
-0.7836 -1.1883 -2.0750
```

Calculated values
For the energy relative to the elements, the calculation gives -0.028 eV/atom. As for the space group: No. 107. The uncorrected energy is -17.860 eV/cell.


[3]
This record from Alexandria describes a relaxed Sr4PrHg5 crystal. The functional is GGA-PBE.

POSCAR file:
```
Sr4PrHg5
1.0
3.9709 0.0000 0.0000
0.0000 3.9709 0.0000
0.0000 0.0000 19.8884
Sr Pr Hg
4 1 5
Cartesian
0.0000 0.0000 3.8930
0.0000 0.0000 7.9254
0.0000 0.0000 11.9630
0.0000 0.0000 15.9954
0.0000 0.0000 0.0000
1.9855 1.9855 1.8106
1.9855 1.9855 5.9153
1.9855 1.9855 9.9442
1.9855 1.9855 13.9731
1.9855 1.9855 18.0778
```

Calculated values
For the energy relative to the elements, the calculation gives -0.521 eV/atom. As for the space group: No. 123. The uncorrected energy is -18.224 eV/cell.


[4]
This record from Alexandria describes a relaxed Dy4MgAgHg2 crystal. The functional is GGA-PBE.

POSCAR file:
```
Dy4MgAgHg2
1.0
5.2348 0.0000 0.0000
2.6174 4.5335 0.0000
2.6174 1.5112 8.5849
Dy Mg Ag Hg
4 1 1 2
Cartesian
5.2348 3.0223 7.3756
7.8523 4.5335 3.3099
2.6174 1.5112 5.2751
5.2348 3.0223 1.2094
0.0000 0.0000 0.0000
5.2348 3.0223 4.2925
7.8523 4.5335 6.6577
2.6174 1.5112 1.9273
```

Calculated values
For the energy relative to the elements, the calculation gives -0.353 eV/atom. As for the space group: No. 166. The uncorrected energy is -26.282 eV/cell.


[5]
This record from Alexandria describes a relaxed SrCaHf2O6 crystal. The functional is GGA-PBE.

POSCAR file:
```
SrCaHf2O6
1.0
-2.8163 -4.5309 1.9951
4.0907 -0.7626 4.0428
-4.1287 4.8050 5.0840
Sr Ca Hf O
2 2 4 12
Cartesian
-0.8348 0.9618 4.9021
-0.2561 -1.7790 7.9624
1.4998 -1.5805 2.7117
-1.9125 -3.3984 1.6587
-3.1824 -0.1576 7.3602
-1.7105 0.0491 1.7469
-1.0786 -2.6060 4.7695
-3.8144 2.4976 4.3376
3.5181 -1.4297 4.2082
-0.4815 -4.1923 3.5712
-2.9057 0.9238 3.2563
-1.8546 -1.0570 5.9820
-1.5988 0.7859 8.3692
-0.9029 -1.3402 3.1011
-3.0294 -3.1217 4.2266
-0.1505 2.6939 6.5734
-4.7808 -1.0834 6.3832
1.6009 0.6557 4.4168
0.8961 -2.1176 5.2970
-3.3979 1.5634 6.1733
```

Calculated values
As for the space group: No. 26. The uncorrected energy is -174.483 eV/cell.


[6]
This record from Alexandria describes a relaxed CeTeI2 crystal. The functional is GGA-PBE.

POSCAR file:
```
CeTeI2
1.0
3.9684 0.0000 0.0000
1.9842 3.4367 0.0000
1.9842 1.1456 12.1100
I Te Ce
2 1 1
Cartesian
1.9842 1.1456 8.2286
5.9526 3.4367 3.8814
0.0000 0.0000 0.0000
3.9684 2.2911 6.0550
```

Calculated values
As for the space group: No. 166. The uncorrected energy is -14.453 eV/cell.


[7]
This record from Alexandria describes a relaxed ScVGa2As crystal. The functional is GGA-PBE.

POSCAR file:
```
ScVGa2As
1.0
-1.2669 4.2156 -2.0134
-1.8088 -2.4206 -3.9299
-4.3250 -0.2697 2.1568
Sc As Ga V
1 1 2 1
Cartesian
-0.9044 -1.2103 -1.9650
0.0000 0.0000 0.0000
-2.1625 -0.1349 1.0784
-0.6335 2.1078 -1.0067
-3.7004 0.7626 -1.8932
```

Calculated values
For the energy relative to the elements, the calculation gives 0.777 eV/atom. As for the space group: No. 123. The uncorrected energy is -22.271 eV/cell.


[8]
This record from Alexandria describes a relaxed BeRu crystal. The functional is GGA-PBE.

POSCAR file:
```
BeRu
1.0
-0.6413 -1.4872 4.5706
3.1211 -2.8509 2.3760
-0.1300 4.0142 -2.7172
Ru Be
2 2
Cartesian
1.2399 -2.1691 3.4733
0.2342 0.1789 2.6634
0.0000 0.0000 0.0000
2.1154 -0.5029 1.5660
```

Calculated values
For the energy relative to the elements, the calculation gives -0.103 eV/atom. As for the space group: No. 141. The uncorrected energy is -26.417 eV/cell.